This record from the Alexandria database describes crystalline MnOF2 at its relaxed geometry. The functional is PBE+U.

## Properties
crystal system	cubic
total energy	-5.097	eV/atom

Cell lengths 3.8889, 3.8889, 3.8889 Å; angles 60.00, 60.00, 60.00 degrees
Closest atoms and distances in Å follow each position.
Fractional positions:
Mn (0.5000, 0.5000, 0.5000)  8 F 2.38
O (0.0000, 0.0000, 0.0000)  8 F 2.38
F (0.2500, 0.2500, 0.2500)  4 Mn 2.38, 4 O 2.38
F (0.7500, 0.7500, 0.7500)  4 O 2.38, 4 Mn 2.38